# 1
Here is a geometry-optimized Zr4TeN structure from the Alexandria database. Energies are from PBE.

abc: 5.5859 6.4442 7.4043
angles: 76.75 67.85 89.98
With the nearest neighbours (Å) after each atom.
Sites, in units of the cell vectors:
Zr: 0.0185 0.4578 0.2946  1 N 2.18
Zr: 0.1876 0.9576 0.2947  1 N 2.18
Zr: 0.2330 0.8308 0.8911  2 N 2.30-2.32
Zr: 0.3756 0.3309 0.8916  2 N 2.30-2.32
Zr: 0.6244 0.6691 0.1084  2 N 2.30-2.32
Zr: 0.7670 0.1692 0.1089  2 N 2.30-2.32
Zr: 0.8124 0.0424 0.7053  1 N 2.18
Zr: 0.9815 0.5422 0.7054  1 N 2.18
Te: 0.3680 0.2499 0.5004  8 Zr 3.04-3.32
Te: 0.6320 0.7501 0.4996  8 Zr 3.04-3.32
N: 0.0000 0.5000 0.0000  6 Zr 2.18-2.32
N: 0.5000 0.0000 0.0000  6 Zr 2.18-2.32

The total energy is -100.96 eV for the cell shown. As for the space group: P-1, No. 2.


# 2
Here is a geometry-optimized Zr2Te2N structure from the Alexandria database. Energies are from PBE.

abc: 6.2679 6.2679 5.3735
angles: 90.00 90.00 90.00
With the nearest neighbours (Å) after each atom.
Sites, in units of the cell vectors:
Zr: 0.1935 0.3065 0.0000  2 N 2.27
Zr: 0.3065 0.8065 0.0000  2 N 2.27
Zr: 0.6935 0.1935 0.0000  2 N 2.27
Zr: 0.8065 0.6935 0.0000  2 N 2.27
Te: 0.1678 0.6678 0.5000  2 Zr 2.95, 5 Te 2.97-3.30
Te: 0.3322 0.1678 0.5000  2 Zr 2.95, 5 Te 2.97-3.30
Te: 0.6678 0.8322 0.5000  2 Zr 2.95, 5 Te 2.97-3.30
Te: 0.8322 0.3322 0.5000  2 Zr 2.95, 5 Te 2.97-3.30
N: 0.0000 0.0000 0.0000  4 Zr 2.27
N: 0.5000 0.5000 0.0000  4 Zr 2.27

The energy above the lowest structure with this stoichiometry is 529 meV per atom. The total energy is -68.38 eV for the cell shown. As for the space group: P4/mbm, No. 127.


# 3
Here is a geometry-optimized Zr4Te5N structure from the Alexandria database. Energies are from PBE.

abc: 8.8659 8.8659 7.9427
angles: 102.09 102.09 24.20
With the nearest neighbours (Å) after each atom.
Sites, in units of the cell vectors:
Zr: 0.0025 0.0025 0.3007  2 N 2.45
Zr: 0.3669 0.3669 0.4359  1 N 2.25
Zr: 0.6331 0.6331 0.5641  1 N 2.25
Zr: 0.9975 0.9975 0.6993  2 N 2.45
Te: 0.1643 0.1643 0.8457  3 Zr 2.87-2.88
Te: 0.1727 0.1727 0.3155  3 Zr 2.90-2.93
Te: 0.5000 0.5000 0.0000  4 Zr 3.02
Te: 0.8273 0.8273 0.6845  3 Zr 2.90-2.93
Te: 0.8357 0.8357 0.1543  3 Zr 2.87-2.88
N: 0.5000 0.5000 0.5000  6 Zr 2.25-2.45

The total energy is -67.83 eV for the cell shown. As for the space group: C2/m, No. 12.


# 4
Here is a geometry-optimized Zr2Te2N structure from the Alexandria database. Energies are from PBE.

abc: 7.1229 7.1229 7.1229
angles: 118.12 82.03 131.87
With the nearest neighbours (Å) after each atom.
Sites, in units of the cell vectors:
Zr: 0.0726 0.1907 0.2633  2 N 2.16
Zr: 0.4274 0.6907 0.1181  2 N 2.16
Zr: 0.5726 0.3093 0.8819  2 N 2.16
Zr: 0.9274 0.8093 0.7367  2 N 2.16
Te: 0.1560 0.6137 0.7697  2 Zr 2.84-2.97
Te: 0.3440 0.1137 0.4577  2 Zr 2.84-2.97
Te: 0.6560 0.8863 0.5423  2 Zr 2.84-2.97
Te: 0.8440 0.3863 0.2303  2 Zr 2.84-2.97
N: 0.2500 0.2500 0.0000  4 Zr 2.16
N: 0.7500 0.7500 0.0000  4 Zr 2.16

The energy above the lowest structure with this stoichiometry is 0 meV per atom. The total energy is -73.67 eV for the cell shown. As for the space group: Ibam, No. 72.


# 5
Here is a geometry-optimized ZrTe3N structure from the Alexandria database. Energies are from PBE.

abc: 5.6047 5.6047 5.6047
angles: 90.00 90.00 90.00
With the nearest neighbours (Å) after each atom.
Sites, in units of the cell vectors:
Zr: 0.0000 0.0000 0.0000  6 Te 2.80
Te: 0.0000 0.0000 0.5000  2 Zr 2.80
Te: 0.0000 0.5000 0.0000  2 Zr 2.80
Te: 0.5000 0.0000 0.0000  2 Zr 2.80
N: 0.5000 0.5000 0.5000  12 Te 3.96

The energy above the lowest structure with this stoichiometry is 408 meV per atom. The total energy is -22.22 eV for the cell shown. As for the space group: Pm-3m, No. 221.


# 6
Here is a geometry-optimized ZrTe2N2 structure from the Alexandria database. Energies are from PBE.

abc: 4.2290 4.2290 6.3352
angles: 90.00 90.00 90.00
With the nearest neighbours (Å) after each atom.
Sites, in units of the cell vectors:
Zr: 0.0000 0.0000 0.0000  4 N 2.11
Te: 0.0000 0.0000 0.5000  4 Te 2.99, 2 Zr 3.17
Te: 0.5000 0.5000 0.5000  4 Te 2.99
N: 0.0000 0.5000 0.0000  2 Zr 2.11
N: 0.5000 0.0000 0.0000  2 Zr 2.11

The energy above the lowest structure with this stoichiometry is 595 meV per atom. The total energy is -29.10 eV for the cell shown. As for the space group: P4/mmm, No. 123.


# 7
Here is a geometry-optimized ZrTeN3 structure from the Alexandria database. Energies are from PBE.

abc: 4.2321 4.2321 4.2321
angles: 90.00 90.00 90.00
With the nearest neighbours (Å) after each atom.
Sites, in units of the cell vectors:
Zr: 0.0000 0.0000 0.0000  6 N 2.12
Te: 0.5000 0.5000 0.5000  12 N 2.99
N: 0.0000 0.0000 0.5000  2 Zr 2.12
N: 0.0000 0.5000 0.0000  2 Zr 2.12
N: 0.5000 0.0000 0.0000  2 Zr 2.12

The total energy is -32.15 eV for the cell shown. As for the space group: Pm-3m, No. 221.


# 8
Here is a geometry-optimized ZrTe2N2 structure from the Alexandria database. Energies are from PBE.

abc: 5.7480 5.7480 4.1157
angles: 90.00 90.00 90.00
With the nearest neighbours (Å) after each atom.
Sites, in units of the cell vectors:
Zr: 0.0000 0.0000 0.0000  2 N 2.06
Te: 0.0000 0.5000 0.0000  2 Zr 2.87
Te: 0.5000 0.0000 0.0000  2 Zr 2.87
N: 0.0000 0.0000 0.5000  2 Zr 2.06
N: 0.5000 0.5000 0.5000  8 Te 3.53

The energy above the lowest structure with this stoichiometry is 1248 meV per atom. The total energy is -25.83 eV for the cell shown. As for the space group: P4/mmm, No. 123.


# 9
Here is a geometry-optimized ZrTe3N structure from the Alexandria database. Energies are from PBE.

abc: 4.7621 4.7621 4.7621
angles: 90.00 90.00 90.00
With the nearest neighbours (Å) after each atom.
Sites, in units of the cell vectors:
Zr: 0.0000 0.0000 0.0000  12 Te 3.37
Te: 0.0000 0.5000 0.5000  2 N 2.38
Te: 0.5000 0.0000 0.5000  2 N 2.38
Te: 0.5000 0.5000 0.0000  2 N 2.38
N: 0.5000 0.5000 0.5000  6 Te 2.38

The energy above the lowest structure with this stoichiometry is 0 meV per atom. The total energy is -24.25 eV for the cell shown. As for the space group: Pm-3m, No. 221.


# 10
Here is a geometry-optimized ZrTeN2 structure from the Alexandria database. Energies are from PBE.

abc: 6.1489 6.1489 6.1489
angles: 126.80 126.80 78.58
With the nearest neighbours (Å) after each atom.
Sites, in units of the cell vectors:
Zr: 0.0000 0.0000 0.0000  4 N 2.09
Zr: 0.7500 0.2500 0.5000  4 N 2.09
Te: 0.2500 0.7500 0.5000  4 N 2.51
Te: 0.5000 0.5000 0.0000  4 N 2.51
N: 0.0608 0.6250 0.9358  2 Zr 2.09
N: 0.3750 0.3108 0.4358  2 Zr 2.09
N: 0.6892 0.1250 0.0642  2 Zr 2.09
N: 0.8750 0.9392 0.5642  2 Zr 2.09

The total energy is -56.79 eV for the cell shown. As for the space group: I-42d, No. 122.


# 11
Here is a geometry-optimized ZrTeN3 structure from the Alexandria database. Energies are from PBE.

abc: 3.9584 3.9584 3.9584
angles: 90.00 90.00 90.00
With the nearest neighbours (Å) after each atom.
Sites, in units of the cell vectors:
Zr: 0.0000 0.0000 0.0000  12 N 2.80
Te: 0.5000 0.5000 0.5000  6 N 1.98
N: 0.0000 0.5000 0.5000  2 Te 1.98
N: 0.5000 0.0000 0.5000  2 Te 1.98
N: 0.5000 0.5000 0.0000  2 Te 1.98

The total energy is -32.69 eV for the cell shown. As for the space group: Pm-3m, No. 221.


# 12
Here is a geometry-optimized ZrTe2N2 structure from the Alexandria database. Energies are from PBE.

abc: 4.5450 4.5450 4.1649
angles: 90.00 90.00 90.00
With the nearest neighbours (Å) after each atom.
Sites, in units of the cell vectors:
Zr: 0.0000 0.0000 0.0000  8 Te 3.08, 4 N 3.21
Te: 0.0000 0.5000 0.5000  2 N 2.27
Te: 0.5000 0.0000 0.5000  2 N 2.27
N: 0.5000 0.5000 0.0000  2 N 2.08
N: 0.5000 0.5000 0.5000  2 N 2.08, 4 Te 2.27

The energy above the lowest structure with this stoichiometry is 1183 meV per atom. The total energy is -26.16 eV for the cell shown. As for the space group: P4/mmm, No. 123.


# 13
Here is a geometry-optimized Th6N5 structure from the Alexandria database. Energies are from PBE.

abc: 6.3368 6.3368 6.3450
angles: 99.70 99.70 119.91
With the nearest neighbours (Å) after each atom.
Sites, in units of the cell vectors:
Th: 0.0756 0.4160 0.7469  5 N 2.53-2.60
Th: 0.2444 0.2444 0.2564  5 N 2.53-2.59
Th: 0.4160 0.0756 0.7469  5 N 2.53-2.60
Th: 0.5840 0.9244 0.2531  5 N 2.53-2.60
Th: 0.7556 0.7556 0.7436  5 N 2.53-2.59
Th: 0.9244 0.5840 0.2531  5 N 2.53-2.60
N: 0.0000 0.0000 0.5000  6 Th 2.53-2.59
N: 0.1667 0.8333 0.0000  6 Th 2.58-2.59
N: 0.3327 0.6673 0.5000  6 Th 2.53-2.60
N: 0.6673 0.3327 0.5000  6 Th 2.53-2.60
N: 0.8333 0.1667 0.0000  6 Th 2.58-2.59

The total energy is -101.25 eV for the cell shown. As for the space group: C2/m, No. 12.


# 14
Here is a geometry-optimized Th3N structure from the Alexandria database. Energies are from PBE.

abc: 4.8053 4.8053 5.4416
angles: 90.00 90.00 90.00
With the nearest neighbours (Å) after each atom.
Sites, in units of the cell vectors:
Th: 0.0000 0.0000 0.0000  8 Th 3.63
Th: 0.0000 0.5000 0.5000  2 N 2.40
Th: 0.5000 0.0000 0.5000  2 N 2.40
N: 0.5000 0.5000 0.5000  4 Th 2.40

The energy above the lowest structure with this stoichiometry is 311 meV per atom. The total energy is -30.62 eV for the cell shown. As for the space group: P4/mmm, No. 123.


# 15
Here is a geometry-optimized Th5N4 structure from the Alexandria database. Energies are from PBE.

abc: 7.2887 7.2887 7.2887
angles: 93.58 93.58 151.07
With the nearest neighbours (Å) after each atom.
Sites, in units of the cell vectors:
Th: 0.0000 0.0000 0.0000  4 N 2.44
Th: 0.2292 0.5830 0.8122  1 N 2.31
Th: 0.4170 0.2292 0.6462  1 N 2.31
Th: 0.5830 0.7708 0.3538  1 N 2.31
Th: 0.7708 0.4170 0.1878  1 N 2.31
N: 0.1210 0.7876 0.9085  2 Th 2.31-2.44
N: 0.2124 0.1210 0.3334  2 Th 2.31-2.44
N: 0.7876 0.8790 0.6666  2 Th 2.31-2.44
N: 0.8790 0.2124 0.0915  2 Th 2.31-2.44

The total energy is -80.10 eV for the cell shown. As for the space group: I4/m, No. 87.


# 16
Here is a geometry-optimized Th2N structure from the Alexandria database. Energies are from PBE.

abc: 3.6827 3.6827 6.3330
angles: 97.51 97.51 123.04
With the nearest neighbours (Å) after each atom.
Sites, in units of the cell vectors:
Th: 0.1394 0.1394 0.2773  2 N 2.43-2.44
Th: 0.8606 0.8606 0.7227  2 N 2.43-2.44
N: 0.5000 0.5000 0.0000  4 Th 2.43-2.44

The total energy is -24.63 eV for the cell shown. As for the space group: C2/m, No. 12.


# 17
Here is a geometry-optimized Th2N3 structure from the Alexandria database. Energies are from PBE.

abc: 3.9113 3.9113 6.1657
angles: 90.00 90.00 120.00
With the nearest neighbours (Å) after each atom.
Sites, in units of the cell vectors:
Th: 0.3333 0.6667 0.2489  4 N 2.36-2.42
Th: 0.6667 0.3333 0.7511  4 N 2.36-2.42
N: 0.0000 0.0000 0.0000  6 Th 2.73
N: 0.3333 0.6667 0.6412  4 Th 2.36-2.42
N: 0.6667 0.3333 0.3588  4 Th 2.36-2.42

The total energy is -46.63 eV for the cell shown. As for the space group: P-3m1, No. 164.


# 18
Here is a geometry-optimized Th3N structure from the Alexandria database. Energies are from PBE.

abc: 5.9743 5.9743 5.9743
angles: 147.25 71.66 118.27
With the nearest neighbours (Å) after each atom.
Sites, in units of the cell vectors:
Th: 0.0000 0.0000 0.0000  2 N 2.57
Th: 0.3357 0.5091 0.8266  2 N 2.61
Th: 0.6825 0.5091 0.1734  2 N 2.61
N: 0.6836 0.1836 0.5000  6 Th 2.57-2.61

The energy above the lowest structure with this stoichiometry is 0 meV per atom. The total energy is -31.86 eV for the cell shown. As for the space group: Imm2, No. 44.


# 19
Here is a geometry-optimized ThN structure from the Alexandria database. Energies are from PBE.

abc: 3.6603 3.6603 3.6603
angles: 60.00 60.00 60.00
With the nearest neighbours (Å) after each atom.
Sites, in units of the cell vectors:
Th: 0.0000 0.0000 0.0000  6 N 2.59
N: 0.5000 0.5000 0.5000  6 Th 2.59

The total energy is -18.88 eV for the cell shown. As for the space group: Fm-3m, No. 225.


# 20
Here is a geometry-optimized Th4N structure from the Alexandria database. Energies are from PBE.

abc: 5.0900 5.0900 5.0900
angles: 90.00 90.00 90.00
With the nearest neighbours (Å) after each atom.
Sites, in units of the cell vectors:
Th: 0.0000 0.0000 0.0000  12 Th 3.60
Th: 0.0000 0.5000 0.5000  2 N 2.55
Th: 0.5000 0.0000 0.5000  2 N 2.55
Th: 0.5000 0.5000 0.0000  2 N 2.55
N: 0.5000 0.5000 0.5000  6 Th 2.55

The total energy is -40.97 eV for the cell shown. As for the space group: Pm-3m, No. 221.


| no. | DOS(E_F) (states/eV per atom) |
| --- | --- |
| 1 | 0.754 |
| 2 | 0.526 |
| 3 | 0.700 |
| 4 | 0.597 |
| 5 | 0.897 |
| 6 | 0.897 |
| 7 | 1.194 |
| 8 | 0.889 |
| 9 | 0.920 |
| 10 | 0.346 |
| 11 | 0.336 |
| 12 | 0.535 |
| 13 | 0.527 |
| 14 | 1.230 |
| 15 | 0.605 |
| 16 | 0.846 |
| 17 | 0.943 |
| 18 | 1.341 |
| 19 | 0.536 |
| 20 | 1.204 |